[1]
The following is a DFT calculation (GGA-PBE) of crystalline ThMgSc2 at its relaxed geometry.

```
data_ThMgSc2
_chemical_formula_sum 'Th1 Mg1 Sc2'
_cell_length_a 10.758
_cell_length_b 10.758
_cell_length_c 10.758
_cell_angle_alpha 18.19
_cell_angle_beta 18.19
_cell_angle_gamma 18.19
_symmetry_space_group_name_H-M 'P 1'
_symmetry_Int_Tables_number 1
loop_
_symmetry_equiv_pos_as_xyz
'x,y,z'
loop_
_atom_site_label
_atom_site_type_symbol
_atom_site_fract_x
_atom_site_fract_y
_atom_site_fract_z
Th1 Th 0.000 0.000 0.000
Mg1 Mg 0.166 0.166 0.166
Sc1 Sc 0.417 0.417 0.417
Sc2 Sc 0.583 0.583 0.583
```

Output
Symmetry   R3m, No. 160
Energy of formation   20 kJ/mol of formula units
Relative energy among the computed polymorphs   0.078 eV/atom
Uncorrected energy   -21.5 eV/cell

[2]
The following is a DFT calculation (GGA-PBE) of crystalline AlAs2PtBr at its relaxed geometry.

```
data_AlAs2PtBr
_chemical_formula_sum 'Al1 As2 Pt1 Br1'
_cell_length_a 4.853
_cell_length_b 4.853
_cell_length_c 5.562
_cell_angle_alpha 90.00
_cell_angle_beta 90.00
_cell_angle_gamma 90.00
_symmetry_space_group_name_H-M 'P 1'
_symmetry_Int_Tables_number 1
loop_
_symmetry_equiv_pos_as_xyz
'x,y,z'
loop_
_atom_site_label
_atom_site_type_symbol
_atom_site_fract_x
_atom_site_fract_y
_atom_site_fract_z
Al1 Al 0.000 0.000 0.000
As1 As 0.000 0.500 0.500
As2 As 0.500 0.000 0.500
Pt1 Pt 0.500 0.500 0.500
Br1 Br 0.500 0.500 0.000
```

Output
Symmetry   P4/mmm, No. 123
Relative energy among the computed polymorphs   0.000 eV/atom
Formation energy (no corrections)   2.5 eV/f.u.
Uncorrected energy   -18.3 eV/cell

[3]
The following is a DFT calculation (GGA-PBE) of crystalline Tl2HgRh at its relaxed geometry.

```
data_Tl2HgRh
_chemical_formula_sum 'Tl2 Hg1 Rh1'
_cell_length_a 5.361
_cell_length_b 5.361
_cell_length_c 5.361
_cell_angle_alpha 130.20
_cell_angle_beta 130.20
_cell_angle_gamma 73.09
_symmetry_space_group_name_H-M 'P 1'
_symmetry_Int_Tables_number 1
loop_
_symmetry_equiv_pos_as_xyz
'x,y,z'
loop_
_atom_site_label
_atom_site_type_symbol
_atom_site_fract_x
_atom_site_fract_y
_atom_site_fract_z
Tl1 Tl 0.250 0.750 0.500
Tl2 Tl 0.750 0.250 0.500
Hg1 Hg 0.000 0.000 0.000
Rh1 Rh 0.500 0.500 0.000
```

Output
Symmetry   I4/mmm, No. 139
Energy of formation   113 kJ/mol of formula units
Relative energy among the computed polymorphs   0.244 eV/atom
Uncorrected energy   -11.2 eV/cell

Repeat the second record exactly.
The following is a DFT calculation (GGA-PBE) of crystalline AlAs2PtBr at its relaxed geometry.

```
data_AlAs2PtBr
_chemical_formula_sum 'Al1 As2 Pt1 Br1'
_cell_length_a 4.853
_cell_length_b 4.853
_cell_length_c 5.562
_cell_angle_alpha 90.00
_cell_angle_beta 90.00
_cell_angle_gamma 90.00
_symmetry_space_group_name_H-M 'P 1'
_symmetry_Int_Tables_number 1
loop_
_symmetry_equiv_pos_as_xyz
'x,y,z'
loop_
_atom_site_label
_atom_site_type_symbol
_atom_site_fract_x
_atom_site_fract_y
_atom_site_fract_z
Al1 Al 0.000 0.000 0.000
As1 As 0.000 0.500 0.500
As2 As 0.500 0.000 0.500
Pt1 Pt 0.500 0.500 0.500
Br1 Br 0.500 0.500 0.000
```

Output
Symmetry   P4/mmm, No. 123
Relative energy among the computed polymorphs   0.000 eV/atom
Formation energy (no corrections)   2.5 eV/f.u.
Uncorrected energy   -18.3 eV/cell

> Which of these has the lowest uncorrected energy?

ThMgSc2

What did the first record say?
The following is a DFT calculation (GGA-PBE) of crystalline ThMgSc2 at its relaxed geometry.

```
data_ThMgSc2
_chemical_formula_sum 'Th1 Mg1 Sc2'
_cell_length_a 10.758
_cell_length_b 10.758
_cell_length_c 10.758
_cell_angle_alpha 18.19
_cell_angle_beta 18.19
_cell_angle_gamma 18.19
_symmetry_space_group_name_H-M 'P 1'
_symmetry_Int_Tables_number 1
loop_
_symmetry_equiv_pos_as_xyz
'x,y,z'
loop_
_atom_site_label
_atom_site_type_symbol
_atom_site_fract_x
_atom_site_fract_y
_atom_site_fract_z
Th1 Th 0.000 0.000 0.000
Mg1 Mg 0.166 0.166 0.166
Sc1 Sc 0.417 0.417 0.417
Sc2 Sc 0.583 0.583 0.583
```

Output
Symmetry   R3m, No. 160
Energy of formation   20 kJ/mol of formula units
Relative energy among the computed polymorphs   0.078 eV/atom
Uncorrected energy   -21.5 eV/cell